# 1
The following is a PBE-GGA calculation of an optimized crystal structure of SrIn2W, from the Alexandria database.

Unit cell a=5.2921 b=3.0770 c=5.8819 alpha=83.48 beta=90.00 gamma=90.00
With the nearest neighbours (Å) after each atom.
Fractional coordinates of all 4 atoms:
1 Sr 0.0000 0.5291 0.4853  6 In 3.07-3.38, 2 Sr 3.08, 2 W 3.37
2 In 0.0000 0.0520 0.9724  2 W 2.98, 2 Sr 3.07-3.25, 4 In 3.08-3.13
3 W 0.5000 0.8150 0.7900  5 In 2.95-3.29, 2 W 3.08
4 In 0.5000 0.1039 0.2523  3 W 2.95-3.29, 4 In 3.08-3.13

## Properties
The value obtained for the density of states at the Fermi level is 0.934 states/eV per atom. The total magnetization comes out at 0.05 μB per atom. The total energy comes out at -4.40 eV/atom.

=====

# 2
The following is a PBE-GGA calculation of an optimized crystal structure of YIO2, from the Alexandria database.

Unit cell a=4.4749 b=4.4749 c=4.4749 alpha=60.00 beta=60.00 gamma=60.00
With the nearest neighbours (Å) after each atom.
Fractional coordinates of all 4 atoms:
1 I 0.5000 0.5000 0.5000  8 O 2.74
2 O 0.2500 0.2500 0.2500  4 I 2.74, 4 Y 2.74
3 O 0.7500 0.7500 0.7500  4 I 2.74, 4 Y 2.74
4 Y 0.0000 0.0000 0.0000  8 O 2.74

## Properties
The value obtained for the density of states at the Fermi level is 1.150 states/eV per atom. The total magnetization comes out at 0.22 μB per atom. The total energy comes out at -5.42 eV/atom. The value obtained for the raw formation energy is -0.941 eV/atom.

=====

# 3
The following is a PBE-GGA calculation of an optimized crystal structure of Er2PuAlS6, from the Alexandria database.

Unit cell a=6.6975 b=6.6976 c=7.1407 alpha=62.03 beta=62.03 gamma=60.00
With the nearest neighbours (Å) after each atom.
Fractional coordinates of all 10 atoms:
1 Er 0.5208 0.5208 0.4376  6 S 2.72-2.77
2 Er 0.0169 0.0169 0.9492  6 S 2.67-2.78
3 Pu 0.8168 0.8168 0.5496  6 S 2.72-2.82
4 S 0.1204 0.4177 0.7700  1 Al 2.49, 2 Er 2.67-2.77, 1 Pu 2.72
5 S 0.5831 0.2194 0.2445  1 Al 2.46, 1 Er 2.72
6 S 0.4177 0.6918 0.7700  1 Al 2.49, 2 Er 2.67-2.77, 1 Pu 2.72
7 S 0.9530 0.5831 0.2445  1 Al 2.46, 1 Er 2.72
8 S 0.6918 0.1204 0.7700  1 Al 2.49, 2 Er 2.67-2.77, 1 Pu 2.72
9 S 0.2194 0.9530 0.2445  1 Al 2.46, 1 Er 2.72
10 Al 0.3216 0.3216 0.0353  6 S 2.46-2.49

## Properties
The value obtained for the density of states at the Fermi level is 1.069 states/eV per atom. The total magnetization comes out at 0.50 μB per atom. The total energy comes out at -6.80 eV/atom. The value obtained for the raw formation energy is -1.608 eV/atom.

=====

# 4
The following is a PBE-GGA calculation of an optimized crystal structure of BeNiRh2, from the Alexandria database.

Unit cell a=2.7577 b=4.4063 c=4.0869 alpha=90.00 beta=90.00 gamma=90.00
With the nearest neighbours (Å) after each atom.
Fractional coordinates of all 4 atoms:
1 Rh 0.5000 0.5000 0.0000  4 Ni 2.47, 6 Rh 2.60-2.76
2 Ni 0.0000 0.5000 0.5000  4 Rh 2.47, 4 Be 2.60, 2 Ni 2.76
3 Be 0.5000 0.0000 0.5000  4 Rh 2.47, 4 Ni 2.60, 2 Be 2.76
4 Rh 0.0000 0.0000 0.0000  4 Be 2.47, 6 Rh 2.60-2.76

## Properties
The value obtained for the density of states at the Fermi level is 1.508 states/eV per atom. The total magnetization comes out at 0.06 μB per atom. The total energy comes out at -6.07 eV/atom.